No. 1
An optimized crystal structure of ZnPd. Source: OQMD, functional GGA-PBE.

Lattice parameters (Å, degrees): 2.901 4.611 4.415 90.00 90.00 90.00
Fractional positions:
Zn  0.250  0.250  0.106
Zn  0.750  0.750  0.894
Pd  0.250  0.750  0.390
Pd  0.750  0.250  0.610

DFT formation energy in meV per atom: -429

No. 2
An optimized crystal structure of Zn3Pd. Source: OQMD, functional GGA-PBE.

Lattice parameters (Å, degrees): 5.466 5.466 4.493 90.00 90.00 120.75
Fractional positions:
Zn  0.084  0.916  0.750
Zn  0.092  0.415  0.750
Zn  0.415  0.092  0.250
Zn  0.585  0.908  0.750
Zn  0.908  0.585  0.250
Zn  0.916  0.084  0.250
Pd  0.405  0.595  0.250
Pd  0.595  0.405  0.750

DFT formation energy in meV per atom: -305

No. 3
An optimized crystal structure of Zn2Pd. Source: OQMD, functional GGA-PBE.

Lattice parameters (Å, degrees): 7.217 4.523 10.910 90.00 100.59 90.00
Fractional positions:
Zn  0.043  0.250  0.317
Zn  0.051  0.250  0.068
Zn  0.063  0.250  0.572
Zn  0.070  0.250  0.820
Zn  0.280  0.750  0.103
Zn  0.280  0.750  0.345
Zn  0.391  0.250  0.485
Zn  0.392  0.250  0.987
Zn  0.608  0.750  0.013
Zn  0.609  0.750  0.515
Zn  0.720  0.250  0.655
Zn  0.720  0.250  0.897
Zn  0.930  0.750  0.180
Zn  0.937  0.750  0.428
Zn  0.949  0.750  0.932
Zn  0.957  0.750  0.683
Pd  0.268  0.750  0.585
Pd  0.277  0.750  0.859
Pd  0.367  0.250  0.234
Pd  0.390  0.250  0.734
Pd  0.610  0.750  0.266
Pd  0.633  0.750  0.766
Pd  0.723  0.250  0.141
Pd  0.732  0.250  0.415

DFT formation energy in meV per atom: -328

No. 4
An optimized crystal structure of ZnPd7. Source: OQMD, functional GGA-PBE.

Lattice parameters (Å, degrees): 2.821 2.821 43.778 90.00 90.00 90.00
Fractional positions:
Zn  0.250  0.250  0.172
Zn  0.750  0.750  0.828
Pd  0.250  0.250  0.256
Pd  0.250  0.250  0.346
Pd  0.250  0.250  0.434
Pd  0.250  0.250  0.522
Pd  0.250  0.250  0.610
Pd  0.250  0.250  0.699
Pd  0.250  0.250  0.790
Pd  0.750  0.750  0.210
Pd  0.750  0.750  0.301
Pd  0.750  0.750  0.390
Pd  0.750  0.750  0.478
Pd  0.750  0.750  0.566
Pd  0.750  0.750  0.654
Pd  0.750  0.750  0.744

DFT formation energy in meV per atom: -38

> Which value of DFT formation energy does entry 1 give?

-429 meV per atom